1.
A geometry-optimized Tm6ZnNi2 structure. Source: the Open Quantum Materials Database, functional PBE-GGA.

Values from the calculation:
energy of formation	-282	kJ/mol of formula units
crystal system	orthorhombic

a b c (Å): 9.1477 9.3731 9.8011
angles (deg): 90.00 90.00 90.00
Last column: nearest neighbours and their distance in Å.
Space group Immm (No. 71)
Asymmetric unit:
Tm: 0.0000 0.1934 0.2390  1 Ni 2.75, 1 Zn 2.96
Tm: 0.1939 0.5000 0.1742  3 Ni 2.68-2.85
Tm: 0.2187 0.3196 0.5000  3 Ni 2.88-3.01, 1 Zn 3.08
Zn: 0.0000 0.0000 0.0000  8 Tm 2.96-3.08, 2 Ni 3.25
Zn: 0.0000 0.0000 0.5000  8 Tm 3.14-3.28
Ni: 0.0000 0.3463 0.0000  8 Tm 2.75-3.01, 1 Ni 2.88
Ni: 0.0000 0.5000 0.3791  1 Ni 2.37

2.
A geometry-optimized TmZn8Ni4 structure. Source: the Open Quantum Materials Database, functional PBE-GGA.

Values from the calculation:
energy of formation	-385	kJ/mol of formula units
crystal system	tetragonal

a b c (Å): 8.5092 8.5092 5.0442
angles (deg): 90.00 90.00 90.00
Last column: nearest neighbours and their distance in Å.
Space group I4/mmm (No. 139)
Asymmetric unit:
Tm: 0.0000 0.0000 0.0000  12 Zn 2.90-3.15
Zn: 0.0000 0.2215 0.5000  4 Ni 2.48, 6 Zn 2.67-2.73
Zn: 0.0000 0.3407 0.0000  4 Ni 2.59, 5 Zn 2.71-2.73, 1 Tm 2.90
Ni: 0.2500 0.2500 0.2500  8 Zn 2.48-2.59, 2 Ni 2.52

> Which value of energy of formation does entry 1 give?

-282 kJ/mol of formula units

> What is the energy of formation in the second record?

-385 kJ/mol of formula units